Arrangement P

# Hf2BiN | Alexandria via LeMat-Bulk | PBE | optimized geometry
# **Spin magnetization**: 0.00 μB/atom
data_Hf2BiN
_chemical_formula_sum 'Hf2 Bi1 N1'
_cell_length_a 4.725
_cell_length_b 4.725
_cell_length_c 4.725
_cell_angle_alpha 60.00
_cell_angle_beta 60.00
_cell_angle_gamma 60.00
_symmetry_space_group_name_H-M 'P 1'
_symmetry_Int_Tables_number 1
loop_
_symmetry_equiv_pos_as_xyz
'x,y,z'
loop_
_atom_site_label
_atom_site_type_symbol
_atom_site_fract_x
_atom_site_fract_y
_atom_site_fract_z
_atom_site_occupancy
Bi1 Bi 0.500 0.500 0.500 1
N1 N 0.000 0.000 0.000 1
Hf1 Hf 0.750 0.750 0.750 1
Hf2 Hf 0.250 0.250 0.250 1

Arrangement Q

# Hf2BiN | Alexandria via LeMat-Bulk | PBE | optimized geometry
# **Spin magnetization**: 0.00 μB/atom
data_Hf2BiN
_chemical_formula_sum 'Hf2 Bi1 N1'
_cell_length_a 3.473
_cell_length_b 3.473
_cell_length_c 7.126
_cell_angle_alpha 75.89
_cell_angle_beta 75.89
_cell_angle_gamma 60.00
_symmetry_space_group_name_H-M 'P 1'
_symmetry_Int_Tables_number 1
loop_
_symmetry_equiv_pos_as_xyz
'x,y,z'
loop_
_atom_site_label
_atom_site_type_symbol
_atom_site_fract_x
_atom_site_fract_y
_atom_site_fract_z
_atom_site_occupancy
Bi1 Bi 0.500 0.500 0.501 1
N1 N 0.668 0.668 0.996 1
Hf1 Hf 0.279 0.279 0.164 1
Hf2 Hf 0.054 0.054 0.839 1

Arrangement R

# Hf2BiN | Alexandria via LeMat-Bulk | PBE | optimized geometry
# **Spin magnetization**: 0.00 μB/atom
data_Hf2BiN
_chemical_formula_sum 'Hf2 Bi1 N1'
_cell_length_a 3.339
_cell_length_b 3.339
_cell_length_c 7.733
_cell_angle_alpha 77.53
_cell_angle_beta 77.53
_cell_angle_gamma 60.00
_symmetry_space_group_name_H-M 'P 1'
_symmetry_Int_Tables_number 1
loop_
_symmetry_equiv_pos_as_xyz
'x,y,z'
loop_
_atom_site_label
_atom_site_type_symbol
_atom_site_fract_x
_atom_site_fract_y
_atom_site_fract_z
_atom_site_occupancy
Hf1 Hf 0.280 0.280 0.160 1
Hf2 Hf 0.720 0.720 0.840 1
N1 N 0.000 0.000 0.000 1
Bi1 Bi 0.500 0.500 0.500 1

Arrangement S

# Hf2BiN | Alexandria via LeMat-Bulk | PBE | optimized geometry
# **Spin magnetization**: 0.00 μB/atom
data_Hf2BiN
_chemical_formula_sum 'Hf4 Bi2 N2'
_cell_length_a 5.823
_cell_length_b 5.823
_cell_length_c 6.760
_cell_angle_alpha 64.49
_cell_angle_beta 64.49
_cell_angle_gamma 90.00
_symmetry_space_group_name_H-M 'P 1'
_symmetry_Int_Tables_number 1
loop_
_symmetry_equiv_pos_as_xyz
'x,y,z'
loop_
_atom_site_label
_atom_site_type_symbol
_atom_site_fract_x
_atom_site_fract_y
_atom_site_fract_z
_atom_site_occupancy
N1 N 0.500 0.500 0.000 1
Bi1 Bi 0.000 0.000 0.000 1
Hf1 Hf 0.375 0.499 0.750 1
N2 N 0.250 0.750 0.500 1
Hf2 Hf 0.875 0.751 0.750 1
Bi2 Bi 0.750 0.250 0.500 1
Hf3 Hf 0.249 0.625 0.250 1
Hf4 Hf 0.501 0.125 0.250 1

Energetically preferred structure: arrangement Q | next structure: +17 meV/atom

Arrangement P

# Hf4BiN2 | Alexandria via LeMat-Bulk | PBE | optimized geometry
# **Spin magnetization**: 0.00 μB/atom
data_Hf4BiN2
_chemical_formula_sum 'Hf8 Bi2 N4'
_cell_length_a 6.903
_cell_length_b 6.903
_cell_length_c 7.162
_cell_angle_alpha 105.94
_cell_angle_beta 107.03
_cell_angle_gamma 114.28
_symmetry_space_group_name_H-M 'P 1'
_symmetry_Int_Tables_number 1
loop_
_symmetry_equiv_pos_as_xyz
'x,y,z'
loop_
_atom_site_label
_atom_site_type_symbol
_atom_site_fract_x
_atom_site_fract_y
_atom_site_fract_z
_atom_site_occupancy
Bi1 Bi 0.992 0.992 0.000 1
Hf1 Hf 0.796 0.512 0.069 1
Hf2 Hf 0.423 0.108 0.340 1
Hf3 Hf 0.476 0.557 0.272 1
Hf4 Hf 0.285 0.204 0.728 1
Hf5 Hf 0.896 0.579 0.665 1
Hf6 Hf 0.768 0.082 0.660 1
N1 N 0.684 0.390 0.300 1
Hf7 Hf 0.914 0.231 0.335 1
Bi2 Bi 0.249 0.749 0.500 1
N2 N 0.609 0.916 0.291 1
Hf8 Hf 0.444 0.728 0.931 1
N3 N 0.090 0.384 0.700 1
N4 N 0.625 0.318 0.709 1

Arrangement Q

# Hf4BiN2 | Alexandria via LeMat-Bulk | PBE | optimized geometry
# **Spin magnetization**: 0.00 μB/atom
data_Hf4BiN2
_chemical_formula_sum 'Hf4 Bi1 N2'
_cell_length_a 5.273
_cell_length_b 5.273
_cell_length_c 6.663
_cell_angle_alpha 66.69
_cell_angle_beta 66.69
_cell_angle_gamma 90.00
_symmetry_space_group_name_H-M 'P 1'
_symmetry_Int_Tables_number 1
loop_
_symmetry_equiv_pos_as_xyz
'x,y,z'
loop_
_atom_site_label
_atom_site_type_symbol
_atom_site_fract_x
_atom_site_fract_y
_atom_site_fract_z
_atom_site_occupancy
Hf1 Hf 0.500 0.000 0.000 1
Bi1 Bi 0.000 0.000 0.000 1
Hf2 Hf 0.000 0.500 0.000 1
Hf3 Hf 0.266 0.266 0.469 1
N1 N 0.441 0.441 0.119 1
N2 N 0.559 0.559 0.881 1
Hf4 Hf 0.734 0.734 0.531 1

Energetically preferred structure: arrangement P | next structure: +1114 meV/atom

Arrangement P

# HfBiTeN2 | Alexandria via LeMat-Bulk | PBE | optimized geometry
# **Spin magnetization**: 0.00 μB/atom
data_HfBiTeN2
_chemical_formula_sum 'Hf1 Bi1 Te1 N2'
_cell_length_a 4.190
_cell_length_b 5.865
_cell_length_c 4.190
_cell_angle_alpha 90.00
_cell_angle_beta 90.00
_cell_angle_gamma 90.00
_symmetry_space_group_name_H-M 'P 1'
_symmetry_Int_Tables_number 1
loop_
_symmetry_equiv_pos_as_xyz
'x,y,z'
loop_
_atom_site_label
_atom_site_type_symbol
_atom_site_fract_x
_atom_site_fract_y
_atom_site_fract_z
_atom_site_occupancy
Bi1 Bi 0.000 0.500 0.000 1
N1 N 0.000 0.000 0.500 1
Te1 Te 0.000 0.000 0.000 1
Hf1 Hf 0.500 0.500 0.500 1
N2 N 0.500 0.000 0.000 1

Arrangement Q

# HfBiTeN2 | Alexandria via LeMat-Bulk | PBE | optimized geometry
# **Spin magnetization**: 0.11 μB/atom
data_HfBiTeN2
_chemical_formula_sum 'Hf1 Bi1 Te1 N2'
_cell_length_a 4.287
_cell_length_b 4.287
_cell_length_c 5.804
_cell_angle_alpha 90.00
_cell_angle_beta 90.00
_cell_angle_gamma 90.00
_symmetry_space_group_name_H-M 'P 1'
_symmetry_Int_Tables_number 1
loop_
_symmetry_equiv_pos_as_xyz
'x,y,z'
loop_
_atom_site_label
_atom_site_type_symbol
_atom_site_fract_x
_atom_site_fract_y
_atom_site_fract_z
_atom_site_occupancy
Hf1 Hf 0.000 0.000 0.000 1
Te1 Te 0.000 0.000 0.500 1
N1 N 0.500 0.000 0.000 1
Bi1 Bi 0.500 0.500 0.500 1
N2 N 0.000 0.500 0.000 1

Energetically preferred structure: arrangement Q | next structure: +1204 meV/atom

Arrangement P

# Hf3NbBi | Alexandria via LeMat-Bulk | PBE | optimized geometry
# **Spin magnetization**: 0.00 μB/atom
data_Hf3NbBi
_chemical_formula_sum 'Hf3 Nb1 Bi1'
_cell_length_a 5.245
_cell_length_b 5.245
_cell_length_c 5.245
_cell_angle_alpha 90.00
_cell_angle_beta 90.00
_cell_angle_gamma 90.00
_symmetry_space_group_name_H-M 'P 1'
_symmetry_Int_Tables_number 1
loop_
_symmetry_equiv_pos_as_xyz
'x,y,z'
loop_
_atom_site_label
_atom_site_type_symbol
_atom_site_fract_x
_atom_site_fract_y
_atom_site_fract_z
_atom_site_occupancy
Hf1 Hf 0.500 0.000 0.000 1
Bi1 Bi 0.000 0.000 0.000 1
Hf2 Hf 0.000 0.000 0.500 1
Hf3 Hf 0.000 0.500 0.000 1
Nb1 Nb 0.500 0.500 0.500 1

Arrangement Q

# Hf3NbBi | Alexandria via LeMat-Bulk | PBE | optimized geometry
# **Spin magnetization**: 0.00 μB/atom
data_Hf3NbBi
_chemical_formula_sum 'Hf3 Nb1 Bi1'
_cell_length_a 5.115
_cell_length_b 5.115
_cell_length_c 5.115
_cell_angle_alpha 90.00
_cell_angle_beta 90.00
_cell_angle_gamma 90.00
_symmetry_space_group_name_H-M 'P 1'
_symmetry_Int_Tables_number 1
loop_
_symmetry_equiv_pos_as_xyz
'x,y,z'
loop_
_atom_site_label
_atom_site_type_symbol
_atom_site_fract_x
_atom_site_fract_y
_atom_site_fract_z
_atom_site_occupancy
Hf1 Hf 0.500 0.000 0.000 1
Nb1 Nb 0.000 0.000 0.000 1
Hf2 Hf 0.000 0.000 0.500 1
Bi1 Bi 0.500 0.500 0.500 1
Hf3 Hf 0.000 0.500 0.000 1

Arrangement R

# Hf3NbBi | Alexandria via LeMat-Bulk | PBE | optimized geometry
# **Spin magnetization**: 0.00 μB/atom
data_Hf3NbBi
_chemical_formula_sum 'Hf6 Nb2 Bi2'
_cell_length_a 3.271
_cell_length_b 7.076
_cell_length_c 11.233
_cell_angle_alpha 64.78
_cell_angle_beta 90.00
_cell_angle_gamma 103.36
_symmetry_space_group_name_H-M 'P 1'
_symmetry_Int_Tables_number 1
loop_
_symmetry_equiv_pos_as_xyz
'x,y,z'
loop_
_atom_site_label
_atom_site_type_symbol
_atom_site_fract_x
_atom_site_fract_y
_atom_site_fract_z
_atom_site_occupancy
Hf1 Hf 0.512 0.025 0.838 1
Hf2 Hf 0.488 0.975 0.162 1
Hf3 Hf 0.200 0.400 0.633 1
Bi1 Bi 0.835 0.670 0.068 1
Nb1 Nb 0.569 0.137 0.542 1
Hf4 Hf 0.134 0.269 0.274 1
Bi2 Bi 0.165 0.330 0.932 1
Hf5 Hf 0.866 0.731 0.726 1
Nb2 Nb 0.431 0.863 0.458 1
Hf6 Hf 0.800 0.600 0.367 1

Energetically preferred structure: arrangement R | next structure: +778 meV/atom

Arrangement P

# HfNbBi2 | Alexandria via LeMat-Bulk | PBE | optimized geometry
# **Spin magnetization**: 0.00 μB/atom
data_HfNbBi2
_chemical_formula_sum 'Hf1 Nb1 Bi2'
_cell_length_a 5.052
_cell_length_b 5.052
_cell_length_c 5.052
_cell_angle_alpha 60.00
_cell_angle_beta 60.00
_cell_angle_gamma 60.00
_symmetry_space_group_name_H-M 'P 1'
_symmetry_Int_Tables_number 1
loop_
_symmetry_equiv_pos_as_xyz
'x,y,z'
loop_
_atom_site_label
_atom_site_type_symbol
_atom_site_fract_x
_atom_site_fract_y
_atom_site_fract_z
_atom_site_occupancy
Nb1 Nb 0.000 0.000 0.000 1
Bi1 Bi 0.750 0.750 0.750 1
Hf1 Hf 0.500 0.500 0.500 1
Bi2 Bi 0.250 0.250 0.250 1

Arrangement Q

# HfNbBi2 | Alexandria via LeMat-Bulk | PBE | optimized geometry
# **Spin magnetization**: 0.00 μB/atom
data_HfNbBi2
_chemical_formula_sum 'Hf1 Nb1 Bi2'
_cell_length_a 3.267
_cell_length_b 3.267
_cell_length_c 11.013
_cell_angle_alpha 81.47
_cell_angle_beta 81.47
_cell_angle_gamma 60.00
_symmetry_space_group_name_H-M 'P 1'
_symmetry_Int_Tables_number 1
loop_
_symmetry_equiv_pos_as_xyz
'x,y,z'
loop_
_atom_site_label
_atom_site_type_symbol
_atom_site_fract_x
_atom_site_fract_y
_atom_site_fract_z
_atom_site_occupancy
Bi1 Bi 0.910 0.910 0.270 1
Hf1 Hf 0.500 0.500 0.500 1
Bi2 Bi 0.090 0.090 0.730 1
Nb1 Nb 0.000 0.000 0.000 1

Arrangement R

# HfNbBi2 | Alexandria via LeMat-Bulk | PBE | optimized geometry
# **Spin magnetization**: 0.72 μB/atom
data_HfNbBi2
_chemical_formula_sum 'Hf2 Nb2 Bi4'
_cell_length_a 6.411
_cell_length_b 6.411
_cell_length_c 8.383
_cell_angle_alpha 67.52
_cell_angle_beta 67.52
_cell_angle_gamma 90.00
_symmetry_space_group_name_H-M 'P 1'
_symmetry_Int_Tables_number 1
loop_
_symmetry_equiv_pos_as_xyz
'x,y,z'
loop_
_atom_site_label
_atom_site_type_symbol
_atom_site_fract_x
_atom_site_fract_y
_atom_site_fract_z
_atom_site_occupancy
Bi1 Bi 0.875 0.871 0.750 1
Bi2 Bi 0.375 0.379 0.750 1
Bi3 Bi 0.129 0.625 0.250 1
Nb1 Nb 0.500 0.500 0.000 1
Nb2 Nb 0.250 0.750 0.500 1
Hf1 Hf 0.750 0.250 0.500 1
Hf2 Hf 0.000 0.000 0.000 1
Bi4 Bi 0.621 0.125 0.250 1

Energetically preferred structure: arrangement P | next structure: +338 meV/atom

Arrangement P

# NdHfBi2 | Alexandria via LeMat-Bulk | PBE | optimized geometry
# **Spin magnetization**: 0.00 μB/atom
data_NdHfBi2
_chemical_formula_sum 'Nd1 Hf1 Bi2'
_cell_length_a 3.687
_cell_length_b 3.687
_cell_length_c 8.086
_cell_angle_alpha 90.00
_cell_angle_beta 90.00
_cell_angle_gamma 90.00
_symmetry_space_group_name_H-M 'P 1'
_symmetry_Int_Tables_number 1
loop_
_symmetry_equiv_pos_as_xyz
'x,y,z'
loop_
_atom_site_label
_atom_site_type_symbol
_atom_site_fract_x
_atom_site_fract_y
_atom_site_fract_z
_atom_site_occupancy
Bi1 Bi 0.000 0.000 0.222 1
Hf1 Hf 0.500 0.500 0.000 1
Bi2 Bi 0.000 0.000 0.778 1
Nd1 Nd 0.500 0.500 0.500 1

Arrangement Q

# NdHfBi2 | Alexandria via LeMat-Bulk | PBE | optimized geometry
# **Spin magnetization**: 0.00 μB/atom
data_NdHfBi2
_chemical_formula_sum 'Nd1 Hf1 Bi2'
_cell_length_a 3.454
_cell_length_b 3.454
_cell_length_c 11.663
_cell_angle_alpha 81.48
_cell_angle_beta 81.48
_cell_angle_gamma 60.00
_symmetry_space_group_name_H-M 'P 1'
_symmetry_Int_Tables_number 1
loop_
_symmetry_equiv_pos_as_xyz
'x,y,z'
loop_
_atom_site_label
_atom_site_type_symbol
_atom_site_fract_x
_atom_site_fract_y
_atom_site_fract_z
_atom_site_occupancy
Bi1 Bi 0.096 0.096 0.711 1
Hf1 Hf 0.500 0.500 0.500 1
Bi2 Bi 0.904 0.904 0.289 1
Nd1 Nd 0.000 0.000 0.000 1

Energetically preferred structure: arrangement P | next structure: +301 meV/atom

Arrangement P

# Hf2Ni2Bi | Alexandria via LeMat-Bulk | PBE | optimized geometry
# **Spin magnetization**: 0.00 μB/atom
data_Hf2Ni2Bi
_chemical_formula_sum 'Hf2 Ni2 Bi1'
_cell_length_a 3.452
_cell_length_b 3.452
_cell_length_c 8.522
_cell_angle_alpha 78.32
_cell_angle_beta 78.32
_cell_angle_gamma 90.00
_symmetry_space_group_name_H-M 'P 1'
_symmetry_Int_Tables_number 1
loop_
_symmetry_equiv_pos_as_xyz
'x,y,z'
loop_
_atom_site_label
_atom_site_type_symbol
_atom_site_fract_x
_atom_site_fract_y
_atom_site_fract_z
_atom_site_occupancy
Ni1 Ni 0.750 0.250 0.500 1
Hf1 Hf 0.632 0.632 0.736 1
Bi1 Bi 0.000 0.000 0.000 1
Hf2 Hf 0.368 0.368 0.264 1
Ni2 Ni 0.250 0.750 0.500 1

Arrangement Q

# Hf2Ni2Bi | Alexandria via LeMat-Bulk | PBE | optimized geometry
# **Spin magnetization**: 0.00 μB/atom
data_Hf2Ni2Bi
_chemical_formula_sum 'Hf4 Ni4 Bi2'
_cell_length_a 7.028
_cell_length_b 7.028
_cell_length_c 3.620
_cell_angle_alpha 90.00
_cell_angle_beta 90.00
_cell_angle_gamma 90.00
_symmetry_space_group_name_H-M 'P 1'
_symmetry_Int_Tables_number 1
loop_
_symmetry_equiv_pos_as_xyz
'x,y,z'
loop_
_atom_site_label
_atom_site_type_symbol
_atom_site_fract_x
_atom_site_fract_y
_atom_site_fract_z
_atom_site_occupancy
Hf1 Hf 0.339 0.161 0.500 1
Ni1 Ni 0.877 0.623 0.000 1
Ni2 Ni 0.123 0.377 0.000 1
Ni3 Ni 0.623 0.123 0.000 1
Bi1 Bi 0.000 0.000 0.000 1
Ni4 Ni 0.377 0.877 0.000 1
Hf2 Hf 0.161 0.661 0.500 1
Hf3 Hf 0.661 0.839 0.500 1
Hf4 Hf 0.839 0.339 0.500 1
Bi2 Bi 0.500 0.500 0.000 1

Energetically preferred structure: arrangement Q | next structure: +227 meV/atom

Arrangement P

# Hf2Ni2Bi | Alexandria via LeMat-Bulk | PBE | optimized geometry
# **Spin magnetization**: 0.00 μB/atom
data_Hf2Ni2Bi
_chemical_formula_sum 'Hf2 Ni2 Bi1'
_cell_length_a 4.364
_cell_length_b 4.364
_cell_length_c 6.012
_cell_angle_alpha 68.72
_cell_angle_beta 68.72
_cell_angle_gamma 90.00
_symmetry_space_group_name_H-M 'P 1'
_symmetry_Int_Tables_number 1
loop_
_symmetry_equiv_pos_as_xyz
'x,y,z'
loop_
_atom_site_label
_atom_site_type_symbol
_atom_site_fract_x
_atom_site_fract_y
_atom_site_fract_z
_atom_site_occupancy
Bi1 Bi 0.000 0.000 0.000 1
Hf1 Hf 0.250 0.750 0.500 1
Ni1 Ni 0.386 0.386 0.227 1
Ni2 Ni 0.614 0.614 0.773 1
Hf2 Hf 0.750 0.250 0.500 1

Arrangement Q

# Hf2Ni2Bi | Alexandria via LeMat-Bulk | PBE | optimized geometry
# **Spin magnetization**: 0.00 μB/atom
data_Hf2Ni2Bi
_chemical_formula_sum 'Hf4 Ni4 Bi2'
_cell_length_a 7.703
_cell_length_b 7.703
_cell_length_c 3.228
_cell_angle_alpha 90.00
_cell_angle_beta 90.00
_cell_angle_gamma 90.00
_symmetry_space_group_name_H-M 'P 1'
_symmetry_Int_Tables_number 1
loop_
_symmetry_equiv_pos_as_xyz
'x,y,z'
loop_
_atom_site_label
_atom_site_type_symbol
_atom_site_fract_x
_atom_site_fract_y
_atom_site_fract_z
_atom_site_occupancy
Ni1 Ni 0.125 0.625 0.500 1
Bi1 Bi 0.000 0.000 0.000 1
Ni2 Ni 0.875 0.375 0.500 1
Hf1 Hf 0.650 0.150 0.000 1
Ni3 Ni 0.375 0.125 0.500 1
Hf2 Hf 0.850 0.650 0.000 1
Ni4 Ni 0.625 0.875 0.500 1
Hf3 Hf 0.350 0.850 0.000 1
Hf4 Hf 0.150 0.350 0.000 1
Bi2 Bi 0.500 0.500 0.000 1

Energetically preferred structure: arrangement P | next structure: +64 meV/atom